Entry 1:
Computed, not measured: a geometry-optimized La2YSc structure at the PBE level of DFT.

Properties
- Energy above the most stable polymorph in this dataset: 0.0299 eV per atom
- Density of states at the Fermi level: 8.17 states/eV per cell
- Calculated formation energy: 71 meV per atom
- Spin magnetization: 0.00 μB/f.u.

Lattice parameters (Å, degrees): 6.2231 6.2231 6.2231 132.20 132.20 69.91
With the nearest neighbours (Å) after each atom.
Positions (direct):
La  0.2500  0.7500  0.5000  4 Y 3.57, 4 La 3.59, 4 Sc 3.59
Sc  0.5000  0.5000  0.0000  8 La 3.57-3.59, 4 Y 3.59
Y  0.7500  0.2500  0.5000  8 La 3.57-3.59, 4 Sc 3.59
La  0.0000  0.0000  0.0000  4 Sc 3.57, 4 La 3.59, 4 Y 3.59

***

Entry 2:
Computed, not measured: a geometry-optimized YbPaO4 structure at the PBE level of DFT.

Properties
- Formation energy from raw total energies: -20.197 eV/f.u.
- Density of states at the Fermi level: 8.40 states/eV per cell
- Spin magnetization: 0.86 μB/f.u.

Lattice parameters (Å, degrees): 3.8033 3.8033 5.4132 90.00 90.00 90.00
With the nearest neighbours (Å) after each atom.
Positions (direct):
O  0.5000  0.0000  0.7386  2 Pa 2.30, 2 Yb 2.37
Yb  0.0000  0.0000  0.0000  8 O 2.37
O  0.0000  0.5000  0.7386  2 Pa 2.30, 2 Yb 2.37
O  0.5000  0.0000  0.2614  2 Pa 2.30, 2 Yb 2.37
O  0.0000  0.5000  0.2614  2 Pa 2.30, 2 Yb 2.37
Pa  0.5000  0.5000  0.5000  8 O 2.30

***

| no. | final energy (eV/atom) |
| --- | --- |
| 1 | -5.59 |
| 2 | -8.51 |